1.
This record from the Alexandria database describes a geometry-optimized PuPa5 structure. The functional is GGA-PBE.

a b c (Å): 8.650 8.650 3.210
angles (deg): 90.00 90.00 142.94
Atoms (fractional coordinates):
Pu  0.000  0.000  0.000
Pa  0.161  0.839  0.500
Pa  0.331  0.669  0.000
Pa  0.500  0.500  0.500
Pa  0.669  0.331  0.000
Pa  0.839  0.161  0.500

DOS(E_F) = 2.148 states/eV per atom
Space-group type = Cmmm (65)
M_tot = 4.96 μB/cell
ΔE_f = 0.040 eV/atom

2.
This record from the Alexandria database describes a geometry-optimized Pu3Pa7 structure. The functional is GGA-PBE.

a b c (Å): 8.578 8.578 6.460
angles (deg): 100.66 100.66 31.59
Atoms (fractional coordinates):
Pu  0.000  0.000  0.000
Pu  0.200  0.200  0.597
Pu  0.800  0.800  0.403
Pa  0.000  0.000  0.500
Pa  0.200  0.200  0.102
Pa  0.399  0.399  0.199
Pa  0.399  0.399  0.699
Pa  0.601  0.601  0.301
Pa  0.601  0.601  0.801
Pa  0.800  0.800  0.898

DOS(E_F) = 2.127 states/eV per atom
Space-group type = C2/m (12)
M_tot = 13.06 μB/cell
ΔE_f = 0.040 eV/atom

3.
This record from the Alexandria database describes a geometry-optimized PuPa structure. The functional is GGA-PBE.

a b c (Å): 3.603 3.603 3.603
angles (deg): 90.00 90.00 90.00
Atoms (fractional coordinates):
Pu  0.000  0.000  0.000
Pa  0.500  0.500  0.500

DOS(E_F) = 2.944 states/eV per atom
Space-group type = Pm-3m (221)
M_tot = 5.22 μB/cell
ΔE_f = 0.201 eV/atom

4.
This record from the Alexandria database describes a geometry-optimized Pu3Pa structure. The functional is GGA-PBE.

a b c (Å): 3.398 3.639 6.344
angles (deg): 90.00 90.00 90.00
Atoms (fractional coordinates):
Pu  0.000  0.000  0.000
Pu  0.000  0.500  0.435
Pu  0.500  0.000  0.282
Pa  0.500  0.500  0.811

Space-group type = Pmm2 (25)
M_tot = 0.74 μB/cell
ΔE_f = 0.474 eV/atom

5.
This record from the Alexandria database describes a geometry-optimized Pu3Pa4 structure. The functional is GGA-PBE.

a b c (Å): 7.430 7.430 6.026
angles (deg): 112.13 112.13 28.58
Atoms (fractional coordinates):
Pu  0.000  0.000  0.000
Pu  0.271  0.271  0.262
Pu  0.729  0.729  0.738
Pa  0.099  0.099  0.727
Pa  0.371  0.371  0.721
Pa  0.629  0.629  0.279
Pa  0.901  0.901  0.273

DOS(E_F) = 2.063 states/eV per atom
Space-group type = C2/m (12)
M_tot = 0.00 μB/cell
ΔE_f = 0.444 eV/atom

6.
This record from the Alexandria database describes a geometry-optimized Pu6Pa structure. The functional is GGA-PBE.

a b c (Å): 5.776 5.776 5.776
angles (deg): 109.47 109.47 109.47
Atoms (fractional coordinates):
Pu  0.250  0.500  0.750
Pu  0.250  0.750  0.500
Pu  0.500  0.250  0.750
Pu  0.500  0.750  0.250
Pu  0.750  0.250  0.500
Pu  0.750  0.500  0.250
Pa  0.000  0.000  0.000

DOS(E_F) = 2.286 states/eV per atom
Space-group type = Im-3m (229)
M_tot = 0.00 μB/cell
ΔE_f = 0.282 eV/atom